No. 1
VASP calculation (PBE) on a geometry-optimized BeCr2N structure.

The structure belongs to space group I-42d (No. 122); the cell edges are 5.580, 5.580 and 5.106 Å and the angles 90.00°, 90.00° and 90.00°. Symmetry generates all atoms from Be at (0.000, 0.000, 0.000), Cr at (0.188, 0.750, 0.625) and N at (0.000, 0.000, 0.500).

As for the formation energy (no corrections): 0.15 eV per atom. The calculation puts the spin magnetization at 0.231 μB per atom. The calculation puts the excess energy over the best structure of this formula in the dataset at 0 kJ/mol of formula units. Its calculated volume is 40 Å³/f.u. Its total energy is -7.6756 eV per atom.

---

No. 2
VASP calculation (PBE) on a geometry-optimized BeCrN3 structure.

The structure belongs to space group Pm-3m (No. 221); the cell edges are 3.366, 3.366 and 3.366 Å and the angles 90.00°, 90.00° and 90.00°. Symmetry generates all atoms from Be at (0.000, 0.000, 0.000), Cr at (0.500, 0.500, 0.500) and N at (0.000, 0.000, 0.500).

As for the formation energy (no corrections): 1.29 eV per atom. The calculation puts the spin magnetization at 0.000 μB per atom. Its calculated volume is 38 Å³/f.u. Its total energy is -6.3735 eV per atom.

---

No. 3
VASP calculation (PBE) on a geometry-optimized Be3CrN structure.

The structure belongs to space group Pm-3m (No. 221); the cell edges are 4.171, 4.171 and 4.171 Å and the angles 90.00°, 90.00° and 90.00°. Symmetry generates all atoms from Be at (0.000, 0.000, 0.500), Cr at (0.000, 0.000, 0.000) and N at (0.500, 0.500, 0.500).

As for the formation energy (no corrections): 2.43 eV per atom. The calculation puts the spin magnetization at 0.255 μB per atom. The calculation puts the excess energy over the best structure of this formula in the dataset at 1048 kJ/mol of formula units. Its calculated volume is 73 Å³/f.u. Its total energy is -3.3983 eV per atom.